## LiTmMg2Au4 (GGA-PBE)

Data for a relaxed LiTmMg2Au4 crystal.

abc: 8.324 8.324 8.324
angles: 32.81 32.81 32.81
Element x y z (fractional)
1 Li 0.000 0.000 0.000
2 Tm 0.500 0.500 0.500
3 Mg 0.255 0.255 0.255
4 Mg 0.745 0.745 0.745
5 Au 0.116 0.116 0.116
6 Au 0.374 0.374 0.374
7 Au 0.626 0.626 0.626
8 Au 0.884 0.884 0.884

Values from the calculation:
Total magnetization   0.0 μB/f.u.
Formation enthalpy at 0 K   -668 meV per atom
Mass density   11.2 g/cm³